--- w ---
SrCuRe2 | GGA-PBE | relaxed

Lattice parameters (Å, degrees): 3.1736 3.1736 7.5699 90.00 90.00 90.00
Fractional coordinates of all 4 atoms:
Sr 0.0000 0.0000 0.0000
Cu 0.5000 0.5000 0.6935
Re 0.0000 0.0000 0.4950
Re 0.5000 0.5000 0.3257

=====

--- x ---
SrCuRe2 | GGA-PBE | relaxed

Lattice parameters (Å, degrees): 10.0971 10.0971 10.0971 16.04 16.04 16.04
Fractional coordinates of all 4 atoms:
Sr 0.0000 0.0000 0.0000
Cu 0.5000 0.5000 0.5000
Re 0.2376 0.2376 0.2376
Re 0.7624 0.7624 0.7624

=====

--- y ---
SrCuRe2 | GGA-PBE | relaxed

Lattice parameters (Å, degrees): 3.8320 3.8320 5.0142 90.00 90.00 90.00
Fractional coordinates of all 4 atoms:
Sr 0.0000 0.0000 0.0000
Cu 0.5000 0.5000 0.0000
Re 0.0000 0.5000 0.5000
Re 0.5000 0.0000 0.5000

=====

Least stable = x